(1)
Entry from Alexandria via LeMat-Bulk: an optimized crystal structure of Tl4Hg2Te (PBE).

Cell: 8.3717 8.3717 8.3717 Å, 109.49 109.49 109.44°
With the nearest neighbours (Å) after each atom.
Fractional coordinates of all 14 atoms:
Tl 0.1290 0.7195 0.7420  4 Hg 3.24-3.46, 2 Te 3.35-3.42, 1 Tl 3.53
Tl 0.1370 0.2275 0.7580  4 Hg 3.24-3.46, 2 Te 3.35-3.42, 1 Tl 3.53
Tl 0.2805 0.0225 0.4095  4 Hg 3.24-3.46, 2 Te 3.35-3.42, 1 Tl 3.53
Tl 0.4695 0.3790 0.2420  4 Hg 3.24-3.46, 2 Te 3.35-3.42, 1 Tl 3.53
Tl 0.6130 0.8710 0.5905  4 Hg 3.24-3.46, 2 Te 3.35-3.42, 1 Tl 3.53
Tl 0.6210 0.8630 0.0905  4 Hg 3.24-3.46, 2 Te 3.35-3.42, 1 Tl 3.53
Tl 0.7725 0.5305 0.9095  4 Hg 3.24-3.46, 2 Te 3.35-3.42, 1 Tl 3.53
Tl 0.9775 0.3870 0.2580  4 Hg 3.24-3.46, 2 Te 3.35-3.42, 1 Tl 3.53
Hg 0.2367 0.6250 0.1117  8 Tl 3.24-3.46
Hg 0.3750 0.4867 0.6117  8 Tl 3.24-3.46
Hg 0.5133 0.1250 0.8883  8 Tl 3.24-3.46
Hg 0.8750 0.7633 0.3883  8 Tl 3.24-3.46
Te 0.0000 0.0000 0.0000  8 Tl 3.35-3.42
Te 0.7500 0.2500 0.5000  8 Tl 3.35-3.42

Values from the calculation:
* calculated volume: 32.3 A^3/atom
* M_tot: 0.0 Bohr magnetons per cell
* uncorrected energy: -27.55 eV per cell
* formation energy without anion corrections: -0.080 eV per atom
* calculated density: 9.900 g/cm3
* SG: I-42d

***

(2)
Entry from Alexandria via LeMat-Bulk: an optimized crystal structure of CePm2Sm2 (PBE).

Cell: 6.4295 6.4295 6.4295 Å, 123.52 123.52 84.00°
With the nearest neighbours (Å) after each atom.
Fractional coordinates of all 5 atoms:
Ce 0.0000 0.0000 0.0000  2 Sm 3.34
Pm 0.2500 0.7500 0.5000  4 Sm 3.19
Pm 0.7500 0.2500 0.5000  4 Sm 3.19
Sm 0.3494 0.3494 0.0000  1 Sm 2.88, 4 Pm 3.19
Sm 0.6506 0.6506 0.0000  1 Sm 2.88, 4 Pm 3.19

Values from the calculation:
* calculated volume: 35.4 A^3/atom
* M_tot: 1.3 Bohr magnetons per cell
* uncorrected energy: -22.27 eV per cell
* calculated density: 6.861 g/cm3
* SG: I4/mmm

***

(3)
Entry from Alexandria via LeMat-Bulk: an optimized crystal structure of Tm3Tl3SnS8 (PBE).

Cell: 8.8921 8.8921 8.8921 Å, 52.30 52.30 52.30°
With the nearest neighbours (Å) after each atom.
Fractional coordinates of all 15 atoms:
Tm 0.0000 0.5000 0.5000  6 S 2.70-2.73
Tm 0.5000 0.0000 0.5000  6 S 2.70-2.73
Tm 0.5000 0.5000 0.0000  6 S 2.70-2.73
Tl 0.0000 0.0000 0.5000  6 S 3.25-3.26
Tl 0.0000 0.5000 0.0000  6 S 3.25-3.26
Tl 0.5000 0.0000 0.0000  6 S 3.25-3.26
Sn 0.0000 0.0000 0.0000  6 S 2.62
S 0.2240 0.2240 0.7425  1 Sn 2.62, 2 Tm 2.73
S 0.2240 0.7425 0.2240  1 Sn 2.62, 2 Tm 2.73
S 0.2575 0.7760 0.7760  1 Sn 2.62, 2 Tm 2.73
S 0.2690 0.2690 0.2690  3 Tm 2.70
S 0.7310 0.7310 0.7310  3 Tm 2.70
S 0.7425 0.2240 0.2240  1 Sn 2.62, 2 Tm 2.73
S 0.7760 0.2575 0.7760  1 Sn 2.62, 2 Tm 2.73
S 0.7760 0.7760 0.2575  1 Sn 2.62, 2 Tm 2.73

Values from the calculation:
* calculated volume: 27.2 A^3/atom
* M_tot: 0.0 Bohr magnetons per cell
* uncorrected energy: -76.32 eV per cell
* formation energy without anion corrections: -1.252 eV per atom
* calculated density: 6.096 g/cm3
* SG: R-3m

***

(4)
Entry from Alexandria via LeMat-Bulk: an optimized crystal structure of TbTh2S6 (PBE).

Cell: 6.4590 6.4590 12.6926 Å, 90.00 90.00 90.00°
With the nearest neighbours (Å) after each atom.
Fractional coordinates of all 18 atoms:
Tb 0.0000 0.0000 0.0000  6 S 2.75-2.77
Tb 0.5000 0.5000 0.5000  6 S 2.75-2.77
Th 0.0000 0.0000 0.3319  6 S 2.78-2.79
Th 0.0000 0.0000 0.6681  6 S 2.78-2.79
Th 0.5000 0.5000 0.1681  6 S 2.78-2.79
Th 0.5000 0.5000 0.8319  6 S 2.78-2.79
S 0.1960 0.1960 0.1640  1 Tb 2.75, 2 Th 2.78
S 0.1963 0.1963 0.5000  1 Tb 2.77, 2 Th 2.79
S 0.1960 0.1960 0.8360  1 Tb 2.75, 2 Th 2.78
S 0.3037 0.6963 0.0000  1 Tb 2.77, 2 Th 2.79
S 0.3040 0.6960 0.3360  1 Tb 2.75, 2 Th 2.78
S 0.3040 0.6960 0.6640  1 Tb 2.75, 2 Th 2.78
S 0.6963 0.3037 0.0000  1 Tb 2.77, 2 Th 2.79
S 0.6960 0.3040 0.3360  1 Tb 2.75, 2 Th 2.78
S 0.6960 0.3040 0.6640  1 Tb 2.75, 2 Th 2.78
S 0.8040 0.8040 0.1640  1 Tb 2.75, 2 Th 2.78
S 0.8037 0.8037 0.5000  1 Tb 2.77, 2 Th 2.79
S 0.8040 0.8040 0.8360  1 Tb 2.75, 2 Th 2.78

Values from the calculation:
* calculated volume: 29.4 A^3/atom
* M_tot: 0.0 Bohr magnetons per cell
* uncorrected energy: -118.86 eV per cell
* formation energy without anion corrections: -1.688 eV per atom
* calculated density: 5.114 g/cm3
* SG: P4_2/mnm

***

(5)
Entry from Alexandria via LeMat-Bulk: an optimized crystal structure of Th5Ru2Au (PBE).

Cell: 8.7608 8.7608 8.7608 Å, 127.00 127.00 78.25°
With the nearest neighbours (Å) after each atom.
Fractional coordinates of all 16 atoms:
Th 0.0000 0.0000 0.0000  4 Ru 3.02
Th 0.0205 0.5205 0.8227  3 Ru 2.92-3.03
Th 0.1978 0.0205 0.5000  3 Ru 2.92-3.03
Th 0.3022 0.8022 0.8227  3 Ru 2.92-3.03
Th 0.4795 0.3022 0.5000  3 Ru 2.92-3.03
Th 0.5000 0.5000 0.0000  4 Ru 3.02
Th 0.5205 0.6978 0.5000  3 Ru 2.92-3.03
Th 0.6978 0.1978 0.1773  3 Ru 2.92-3.03
Th 0.8022 0.9795 0.5000  3 Ru 2.92-3.03
Th 0.9795 0.4795 0.1773  3 Ru 2.92-3.03
Ru 0.1390 0.3610 0.5000  8 Th 2.92-3.03, 1 Ru 3.07
Ru 0.3610 0.8610 0.2220  8 Th 2.92-3.03, 1 Ru 3.07
Ru 0.6390 0.1390 0.7780  8 Th 2.92-3.03, 1 Ru 3.07
Ru 0.8610 0.6390 0.5000  8 Th 2.92-3.03, 1 Ru 3.07
Au 0.2500 0.2500 0.0000  10 Th 3.29-3.40
Au 0.7500 0.7500 0.0000  10 Th 3.29-3.40

Values from the calculation:
* calculated volume: 26.0 A^3/atom
* M_tot: 0.0 Bohr magnetons per cell
* uncorrected energy: -125.18 eV per cell
* calculated density: 12.466 g/cm3
* SG: I4/mcm

***

(6)
Entry from Alexandria via LeMat-Bulk: an optimized crystal structure of TlSbIr2 (PBE).

Cell: 4.4771 4.4771 3.6769 Å, 90.00 90.00 90.00°
With the nearest neighbours (Å) after each atom.
Fractional coordinates of all 4 atoms:
Tl 0.0000 0.0000 0.0000  8 Ir 2.90, 4 Sb 3.17
Sb 0.5000 0.5000 0.0000  8 Ir 2.90, 4 Tl 3.17
Ir 0.0000 0.5000 0.5000  4 Tl 2.90, 4 Sb 2.90, 4 Ir 3.17
Ir 0.5000 0.0000 0.5000  4 Tl 2.90, 4 Sb 2.90, 4 Ir 3.17

Values from the calculation:
* calculated volume: 18.4 A^3/atom
* M_tot: 0.0 Bohr magnetons per cell
* uncorrected energy: -22.43 eV per cell
* formation energy without anion corrections: 0.445 eV per atom
* calculated density: 16.010 g/cm3
* SG: P4/mmm